DFT (PBE-GGA) results for a relaxed structure of HgAs2W.

spin magnetization = 0.000 Bohr magnetons per cell
space group = Cm, No. 8
formation energy = 0.14 eV per atom
E_tot = -5.5018 eV per atom

Cell lengths 9.6979, 9.6979, 3.1910 Å; angles 60.19, 60.19, 18.90 degrees
Fractional coordinates of all 4 atoms:
1 Hg 0.4478 0.4478 0.6476
2 As 0.2713 0.2713 0.1881
3 As 0.0968 0.0968 0.7142
4 W 0.6842 0.6842 0.9502